Entry 1:
Below is crystalline CsSrTiI6 at its relaxed geometry, with properties calculated at the GGA-PBE level.

Unit cell a=8.0548 b=8.0548 c=8.4232 alpha=90.00 beta=90.00 gamma=120.00
With the nearest neighbours (Å) after each atom.
Positions (direct):
1 Cs 0.0000 0.0000 0.0000  6 I 3.90
2 Sr 0.3333 0.6667 0.5000  6 I 3.29
3 Ti 0.6667 0.3333 0.5000  6 I 2.85
4 I 0.3880 0.0417 0.6995  1 Ti 2.85
5 I 0.3880 0.3462 0.3005  1 Ti 2.85
6 I 0.6538 0.0417 0.3005  1 Ti 2.85
7 I 0.6538 0.6120 0.6995  1 Ti 2.85
8 I 0.9583 0.3462 0.6995  1 Ti 2.85
9 I 0.9583 0.6120 0.3005  1 Ti 2.85

symmetry: P312
E_form (uncorrected): -1.22 eV per atom

=====

Entry 2:
Below is crystalline Tb4PmSn2 at its relaxed geometry, with properties calculated at the GGA-PBE level.

Unit cell a=10.8440 b=10.8440 c=10.8440 alpha=27.17 beta=27.17 gamma=27.17
With the nearest neighbours (Å) after each atom.
Positions (direct):
1 Tb 0.1084 0.1084 0.1084  3 Sn 3.23, 3 Pm 3.46
2 Tb 0.2971 0.2971 0.2971  4 Sn 3.08-3.18
3 Tb 0.7029 0.7029 0.7029  4 Sn 3.08-3.18
4 Tb 0.8916 0.8916 0.8916  3 Sn 3.23, 3 Pm 3.46
5 Pm 0.5000 0.5000 0.5000  2 Sn 3.17, 6 Tb 3.46
6 Sn 0.3988 0.3988 0.3988  7 Tb 3.08-3.23, 1 Pm 3.17
7 Sn 0.6012 0.6012 0.6012  7 Tb 3.08-3.23, 1 Pm 3.17

symmetry: R-3m
calculated formation energy: -209.7 meV per atom

=====

Entry 3:
Below is crystalline Sc2TaTe at its relaxed geometry, with properties calculated at the GGA-PBE level.

Unit cell a=6.3090 b=6.3090 c=6.3090 alpha=102.25 beta=102.25 gamma=125.15
With the nearest neighbours (Å) after each atom.
Positions (direct):
1 Sc 0.1181 0.6250 0.9931  2 Te 2.86, 2 Sc 2.91, 2 Ta 2.93
2 Sc 0.3750 0.3681 0.4931  2 Te 2.86, 2 Sc 2.91, 2 Ta 2.93
3 Sc 0.6319 0.1250 0.0069  2 Te 2.86, 2 Sc 2.91, 2 Ta 2.93
4 Sc 0.8750 0.8819 0.5069  2 Te 2.86, 2 Sc 2.91, 2 Ta 2.93
5 Ta 0.2500 0.7500 0.5000  2 Te 2.91, 4 Sc 2.93
6 Ta 0.5000 0.5000 0.0000  2 Te 2.91, 4 Sc 2.93
7 Te 0.0000 0.0000 0.0000  4 Sc 2.86, 2 Ta 2.91
8 Te 0.7500 0.2500 0.5000  4 Sc 2.86, 2 Ta 2.91

relative energy among the computed polymorphs: 58.63 kJ/mol of atoms
symmetry: I-42d
E_form (uncorrected): 0.28 eV per atom

=====

Entry 4:
Below is crystalline TaNi2HgW at its relaxed geometry, with properties calculated at the GGA-PBE level.

Unit cell a=4.4183 b=4.4183 c=5.1222 alpha=90.00 beta=90.00 gamma=90.00
With the nearest neighbours (Å) after each atom.
Positions (direct):
1 Ta 0.0000 0.0000 0.0000  4 Ni 2.21
2 Ni 0.0000 0.5000 0.0000  2 Ta 2.21
3 Ni 0.5000 0.0000 0.0000  2 Ta 2.21
4 Hg 0.0000 0.0000 0.5000  2 Ta 2.56
5 W 0.5000 0.5000 0.5000  4 Hg 3.12, 8 Ni 3.38

symmetry: P4/mmm
calculated formation energy: 1985.0 meV per atom

=====

Number 1: calculated total energy -3.413 eV/atom. Number 2: calculated total energy -4.678 eV/atom. Number 3: calculated total energy -6.635 eV/atom. Number 4: calculated total energy -5.349 eV/atom.